Record 1
First-principles (PBE-GGA) data for a geometry-optimized LiBe2Rh structure, as listed in Alexandria via LeMat-Bulk.

Results
formation energy	1.376	eV/f.u.
Fermi-level density of states	0.523	states/eV/atom
volume	11.85	Å³/atom

abc: 2.546 4.087 9.107
angles: 90.00 90.00 90.00
Space group Immm (No. 71)
Asymmetric unit:
Li1 0.000 0.000 0.000 x2
Be1 0.000 0.000 0.255 x4
Rh1 0.000 0.000 0.500 x2

=====

Record 2
First-principles (PBE-GGA) data for a geometry-optimized CaTlRh structure, as listed in Alexandria via LeMat-Bulk.

Results
formation energy	-0.790	eV/f.u.
Fermi-level density of states	0.443	states/eV/atom
volume	24.85	Å³/atom

abc: 6.681 6.681 6.681
angles: 90.00 90.00 90.00
Space group F-43m (No. 216)
Asymmetric unit:
Ca1 0.000 0.000 0.000 x4
Tl1 0.000 0.000 0.500 x4
Rh1 0.250 0.250 0.250 x4

=====

Number 1: total energy -3.84 eV per atom. Number 2: total energy -4.17 eV per atom.